Li2NdPbAu2 | PBE-GGA | relaxed

abc: 4.676 4.676 6.722
angles: 90.00 90.00 120.00
Element x y z (fractional)
Li: 0.333 0.667 0.675
Li: 0.667 0.333 0.325
Nd: 0.000 0.000 0.000
Pb: 0.000 0.000 0.500
Au: 0.667 0.333 0.753
Au: 0.333 0.667 0.247

Calculated values
Energy of formation, eV per formula unit: -3.38
Electronic total energy, eV per cell: -22.2
Theoretical density, g/cm³: 9.9